! Cs2BiPt2, optimized geometry, DFT GGA-PBE; values from VASP
&SYSTEM
  ibrav = 0, nat = 10, ntyp = 3
/
ATOMIC_SPECIES
Pt 195.08 Pt.upf
Bi 208.98 Bi.upf
Cs 132.91 Cs.upf
ATOMIC_POSITIONS angstrom
Pt -2.528 -3.569 -5.776
Pt -4.171 -3.906 -0.220
Pt -5.495 -1.710 5.894
Pt -3.852 -1.372 0.339
Bi -4.651 -2.106 -6.910
Bi -5.016 0.861 1.601
Cs -1.644 -2.351 -2.326
Cs -6.379 -2.927 2.445
Cs -5.625 -2.289 -2.851
Cs -2.398 -2.989 2.970
CELL_PARAMETERS angstrom
-3.034 -2.437 -7.581
1.644 -4.032 5.428
-6.633 1.191 2.272
! E: -3.730 eV/atom
! DOS(E_F): 1.66 states/eV/f.u.
! calculated volume: 33.22 A^3/atom
! space-group type: C2/c (15)